# PuTlZnF6

PuTlZnF6 after structural relaxation (GGA-PBE, Alexandria).

Lattice parameters (Å, degrees): 5.9800 5.9800 5.7259 90.02 89.98 59.96
Fractional positions:
Tl  0.9999  0.9999  0.0000
F  0.6089  0.0262  0.3016
Zn  0.3333  0.3334  0.5000
F  0.6085  0.3651  0.6986
F  0.3648  0.0266  0.6985
Pu  0.6666  0.6666  0.5000
F  0.3651  0.6085  0.3014
F  0.0265  0.3648  0.3015
F  0.0262  0.6089  0.6984

Computed properties:
The density of states at the Fermi level is 6.57 states/eV/f.u. As for the space group: No. 149. For the raw formation energy, the calculation gives -2729 meV per atom.

***

# Tm2PuF11

Tm2PuF11 after structural relaxation (GGA-PBE, Alexandria).

Lattice parameters (Å, degrees): 7.9352 8.4763 8.4763 74.03 62.09 62.09
Fractional positions:
F  0.6281  0.2741  0.7259
F  0.2455  0.5224  0.1795
F  0.0525  0.1795  0.5224
F  0.7545  0.4776  0.8205
F  0.4475  0.9776  0.3205
F  0.3538  0.2931  0.4279
F  0.8719  0.7741  0.2259
Pu  0.7500  0.7500  0.7500
Tm  0.1341  0.8192  0.1808
Tm  0.3659  0.3192  0.6808
F  0.6462  0.7069  0.5721
F  0.5748  0.2069  0.0721
F  0.2545  0.3205  0.9776
F  0.4252  0.7931  0.9279
F  0.8538  0.9279  0.7931
F  0.3719  0.7259  0.2741
F  0.9252  0.4279  0.2931
F  0.0748  0.5721  0.7069
F  0.5525  0.0224  0.6795
F  0.9475  0.8205  0.4776
F  0.1281  0.2259  0.7741
Tm  0.8659  0.1808  0.8192
F  0.0000  0.0000  0.0000
F  0.7455  0.6795  0.0224
F  0.5000  0.5000  0.5000
F  0.1462  0.0721  0.2069
Tm  0.6341  0.6808  0.3192
Pu  0.2500  0.2500  0.2500

Computed properties:
The density of states at the Fermi level is 5.67 states/eV/f.u. As for the space group: No. 72. For the raw formation energy, the calculation gives -3649 meV per atom.

***

# TmPuF

TmPuF after structural relaxation (GGA-PBE, Alexandria).

Lattice parameters (Å, degrees): 4.6806 5.1602 8.7770 90.00 90.00 90.00
Fractional positions:
Pu  0.4927  0.6759  0.9666
Pu  0.9927  0.3241  0.0334
F  0.2432  0.7494  0.5023
Tm  0.9931  0.4944  0.6807
Tm  0.9931  0.9944  0.3193
Pu  0.9927  0.8241  0.9666
F  0.7432  0.7506  0.5023
F  0.7432  0.2506  0.4977
F  0.2432  0.2494  0.4977
Tm  0.4931  0.5056  0.3193
Pu  0.4927  0.1759  0.0334
Tm  0.4931  0.0056  0.6807

Computed properties:
The density of states at the Fermi level is 3.31 states/eV/f.u. As for the space group: No. 57. For the raw formation energy, the calculation gives -1539 meV per atom.

***

# TmPuF6

TmPuF6 after structural relaxation (GGA-PBE, Alexandria).

Lattice parameters (Å, degrees): 4.0327 5.9893 6.0062 71.34 70.38 70.33
Fractional positions:
F  0.7411  0.2577  0.2592
Pu  0.0000  0.0000  0.0000
Tm  0.5000  0.5000  0.5000
F  0.2589  0.7423  0.7408
F  0.9464  0.3963  0.7112
F  0.0536  0.6037  0.2888
F  0.4495  0.8726  0.2282
F  0.5505  0.1274  0.7718

Computed properties:
The density of states at the Fermi level is 7.85 states/eV/f.u. As for the space group: No. 12. For the raw formation energy, the calculation gives -3866 meV per atom.

***

# Pu2UF8

Pu2UF8 after structural relaxation (GGA-PBE, Alexandria).

Lattice parameters (Å, degrees): 4.1445 7.0757 7.2873 99.44 90.00 107.03
Fractional positions:
Pu  0.7408  0.4817  0.7375
F  0.4338  0.8676  0.2652
F  0.6928  0.3857  0.0696
F  0.5662  0.1324  0.7348
U  0.5000  0.0000  0.0000
Pu  0.2592  0.5183  0.2625
F  0.3072  0.6143  0.9304
F  0.0761  0.1523  0.1374
F  0.2026  0.4053  0.5659
F  0.9239  0.8477  0.8626
F  0.7974  0.5947  0.4341

Computed properties:
The density of states at the Fermi level is 21.37 states/eV/f.u. As for the space group: No. 12. For the raw formation energy, the calculation gives -3407 meV per atom.

***

# PuU2F11

PuU2F11 after structural relaxation (GGA-PBE, Alexandria).

Lattice parameters (Å, degrees): 8.4964 8.8478 8.8478 73.55 61.31 61.31
Fractional positions:
F  0.9550  0.8169  0.4601
U  0.8523  0.1820  0.8180
F  0.4550  0.9601  0.3169
F  0.7321  0.6831  0.0399
F  0.5000  0.5000  0.5000
F  0.4113  0.7915  0.9383
F  0.2679  0.3169  0.9601
F  0.0887  0.5617  0.7085
F  0.3590  0.2915  0.4383
F  0.0450  0.1831  0.5399
F  0.2321  0.5399  0.1831
U  0.6477  0.6820  0.3180
F  0.0000  0.0000  0.0000
F  0.5450  0.0399  0.6831
F  0.8717  0.7852  0.2148
F  0.9113  0.4383  0.2915
F  0.1410  0.0617  0.2085
F  0.7679  0.4601  0.8169
Pu  0.2500  0.2500  0.2500
F  0.6410  0.7085  0.5617
Pu  0.7500  0.7500  0.7500
U  0.3523  0.3180  0.6820
F  0.8590  0.9383  0.7915
F  0.1283  0.2148  0.7852
F  0.3717  0.7148  0.2852
F  0.6283  0.2852  0.7148
F  0.5887  0.2085  0.0617
U  0.1477  0.8180  0.1820

Computed properties:
The density of states at the Fermi level is 21.79 states/eV/f.u. As for the space group: No. 72. For the raw formation energy, the calculation gives -3603 meV per atom.

***

# PuU2F8

PuU2F8 after structural relaxation (GGA-PBE, Alexandria).

Lattice parameters (Å, degrees): 3.9354 6.7758 6.8926 119.44 106.59 90.00
Fractional positions:
F  0.1497  0.1496  0.2993
F  0.3391  0.1195  0.6783
F  0.3391  0.5587  0.6783
F  0.0000  0.3147  0.0000
U  0.1837  0.6837  0.3675
U  0.8163  0.3163  0.6325
F  0.6609  0.4413  0.3217
Pu  0.5000  0.0000  0.0000
F  0.6609  0.8805  0.3217
F  0.0000  0.6853  0.0000
F  0.8503  0.8504  0.7007

Computed properties:
The density of states at the Fermi level is 17.89 states/eV/f.u. As for the space group: No. 71. For the raw formation energy, the calculation gives -3243 meV per atom.